PBE Mg2Sc6HO, optimized geometry; total moment = 0.00 μB/atom; total energy = -5.61 eV/atom
1.0
4.542 -4.546 0.000
4.542 4.546 0.000
-4.538 0.000 4.544
Mg Sc H O
2 6 1 1
Cartesian
4.542 2.274 0.000
4.542 -2.274 0.000
-0.040 0.000 2.271
-2.267 0.000 4.497
2.273 2.322 2.272
2.273 -2.322 2.272
6.813 0.000 0.047
4.586 0.000 2.273
2.273 0.000 2.272
-2.269 0.000 2.272